Crystalline NbTl2AsO6 at its relaxed geometry, computed with PBE.

- D(E_F) (states/eV per atom) = 0.18
- size of the total moment (μB per cell) = 0.00
- uncorrected formation energy (meV per atom) = -1293
- space-group type = Fm-3m, No. 225

Lattice parameters (Å, degrees): 5.653 5.653 5.654 60.01 60.01 90.00
Positions (direct):
O  0.743  0.257  0.000
O  0.743  0.743  0.515
O  0.743  0.743  0.000
O  0.257  0.257  0.485
O  0.257  0.257  0.000
O  0.257  0.743  0.000
As  0.500  0.500  0.000
Tl  0.750  0.250  0.500
Tl  0.250  0.750  0.500
Nb  0.000  0.000  0.000



Crystalline NbTlAsO6 at its relaxed geometry, computed with PBE.

- D(E_F) (states/eV per atom) = 0.39
- size of the total moment (μB per cell) = 0.00
- uncorrected formation energy (meV per atom) = -1531
- space-group type = P312, No. 149

Lattice parameters (Å, degrees): 5.255 5.255 5.244 90.00 90.00 60.00
Positions (direct):
O  0.374  0.605  0.298
O  0.021  0.605  0.702
O  0.605  0.374  0.702
O  0.374  0.021  0.702
O  0.605  0.021  0.298
O  0.021  0.374  0.298
As  0.333  0.333  0.500
Tl  0.000  0.000  0.000
Nb  0.667  0.667  0.500



Crystalline NbAsOs3 at its relaxed geometry, computed with PBE.

- D(E_F) (states/eV per atom) = 0.95
- size of the total moment (μB per cell) = 0.00
- formation enthalpy at 0 K (eV/atom) = 2.3412
- energy above the lowest structure with this stoichiometry (eV/f.u.) = 4.67
- space-group type = Pm-3m, No. 221

Lattice parameters (Å, degrees): 4.756 4.756 4.756 90.00 90.00 90.00
Positions (direct):
Os  0.000  0.000  0.500
Os  0.500  0.000  0.000
Os  0.000  0.500  0.000
Nb  0.000  0.000  0.000
As  0.500  0.500  0.500



Crystalline NbAsOs2 at its relaxed geometry, computed with PBE.

- D(E_F) (states/eV per atom) = 0.44
- size of the total moment (μB per cell) = 0.00
- formation enthalpy at 0 K (eV/atom) = 0.8415
- space-group type = I-42d, No. 122

Lattice parameters (Å, degrees): 5.632 5.632 6.943 66.07 66.07 90.00
Positions (direct):
Nb  0.000  0.000  0.000
Nb  0.750  0.250  0.500
Os  0.375  0.396  0.750
Os  0.604  0.125  0.250
Os  0.146  0.625  0.250
Os  0.875  0.854  0.750
As  0.500  0.500  0.000
As  0.250  0.750  0.500